(1)
DFT (GGA-PBEsol) results for an optimized crystal structure of CaTiAg2.

abc: 4.8266 4.8266 4.8266
angles: 60.00 60.00 60.00
Site moments in Bohr magnetons follow the coordinates.
Fractional coordinates of all 4 atoms:
Ag1 0.2500 0.2500 0.2500  0.02
Ti1 0.5000 0.5000 0.5000  0.73
Ag2 0.7500 0.7500 0.7500  0.02
Ca1 0.0000 0.0000 0.0000  0.01

## Properties
E: -16.6 eV per cell
N(E_F): 5.13 states/eV/f.u.
SG: No. 225
density: 6342 kg/m³
size of the total moment: 0.99 μB/f.u.

(2)
DFT (GGA-PBEsol) results for an optimized crystal structure of CaTi3Ag.

abc: 4.9282 4.9282 4.9282
angles: 90.00 90.00 90.00
Site moments in Bohr magnetons follow the coordinates.
Fractional coordinates of all 5 atoms:
Ti1 0.0000 0.0000 0.5000  0.34
Ag1 0.0000 0.0000 0.0000  0.03
Ti2 0.5000 0.0000 0.0000  0.34
Ti3 0.0000 0.5000 0.0000  0.34
Ca1 0.5000 0.5000 0.5000  0.03

## Properties
E: -25.8 eV per cell
N(E_F): 8.13 states/eV/f.u.
SG: No. 221
density: 4045 kg/m³
size of the total moment: 1.49 μB/f.u.

(3)
DFT (GGA-PBEsol) results for an optimized crystal structure of CaAgW3.

abc: 4.5304 4.5304 4.5304
angles: 90.00 90.00 90.00
Fractional coordinates of all 5 atoms:
W1 0.0000 0.0000 0.5000
W2 0.0000 0.5000 0.0000
Ca1 0.0000 0.0000 0.0000
W3 0.5000 0.0000 0.0000
Ag1 0.5000 0.5000 0.5000

## Properties
E: -30.8 eV per cell
N(E_F): 4.50 states/eV/f.u.
SG: No. 221
density: 12491 kg/m³
size of the total moment: 0.00 μB/f.u.

(4)
DFT (GGA-PBEsol) results for an optimized crystal structure of CaAg2W.

abc: 2.8561 2.8561 8.9194
angles: 90.00 90.00 90.00
Fractional coordinates of all 4 atoms:
Ag1 0.0000 0.0000 0.9995
W1 0.5000 0.5000 0.7713
Ag2 0.5000 0.5000 0.2278
Ca1 0.0000 0.0000 0.5015

## Properties
E: -20.7 eV per cell
N(E_F): 1.95 states/eV/f.u.
SG: No. 99
density: 10034 kg/m³
size of the total moment: 0.00 μB/f.u.